A plane-wave DFT calculation with PBE-GGA was carried out for crystalline ReRh2 at its relaxed geometry.

The structure in extended XYZ format:
```
3
Lattice="2.719 0.000 0.000 0.000 3.857 0.000 -1.359 -1.929 4.097" Properties=species:S:1:pos:R:3 pbc="T T T"
Re 0.000 0.000 0.000
Rh 0.000 0.000 2.755
Rh 1.359 1.929 1.342
```

Results
energy relative to the lowest polymorph listed for this composition	55	meV per atom
formation enthalpy at 0 K	-0.1167	eV/atom
VASP energy	-9.167	eV/atom



A plane-wave DFT calculation with PBE-GGA was carried out for crystalline ReRh2 at its relaxed geometry.

The structure in extended XYZ format:
```
12
Lattice="-0.598 -3.836 0.280 0.352 -0.337 -3.862 11.355 0.420 2.961" Properties=species:S:1:pos:R:3 pbc="T T T"
Rh 10.889 -3.578 1.305
Rh 1.769 -2.367 -1.594
Rh 7.209 -3.032 0.922
Rh 9.340 -1.386 0.973
Rh -0.255 -1.924 0.145
Rh 5.449 -2.913 -1.210
Rh 3.425 -2.470 0.528
Rh 5.660 -0.840 0.589
Re 9.158 -3.463 -0.824
Re 3.841 -0.712 -1.549
Re 1.951 -0.289 0.203
Re 7.743 -1.291 -1.143
```

Results
energy relative to the lowest polymorph listed for this composition	88	meV per atom
formation enthalpy at 0 K	-0.0844	eV/atom
VASP energy	-9.135	eV/atom



A plane-wave DFT calculation with PBE-GGA was carried out for crystalline Re4Rh5 at its relaxed geometry.

The structure in extended XYZ format:
```
9
Lattice="-4.096 4.096 1.945 4.096 -4.096 1.945 4.096 4.096 -1.945" Properties=species:S:1:pos:R:3 pbc="T T T"
Rh -1.383 1.383 1.945
Rh 1.383 -1.383 1.945
Rh 1.383 1.383 1.945
Rh 2.713 2.713 0.000
Rh 0.000 0.000 0.000
Re 2.767 0.000 0.000
Re 0.000 2.767 0.000
Re 5.424 0.000 0.000
Re 0.000 5.424 0.000
```

Results
energy relative to the lowest polymorph listed for this composition	0	meV per atom
formation enthalpy at 0 K	-0.0735	eV/atom
VASP energy	-9.690	eV/atom